(1)
A geometry-optimized NaZn2Ag2 structure. Source: Alexandria via LeMat-Bulk, functional GGA-PBE.

Unit cell a=7.983 b=7.983 c=2.864 alpha=90.00 beta=90.00 gamma=90.00
Element x y z (fractional)
1 Na 0.000 0.000 0.000
2 Na 0.500 0.500 0.000
3 Zn 0.118 0.382 0.000
4 Zn 0.382 0.882 0.000
5 Zn 0.618 0.118 0.000
6 Zn 0.882 0.618 0.000
7 Ag 0.179 0.679 0.500
8 Ag 0.321 0.179 0.500
9 Ag 0.679 0.821 0.500
10 Ag 0.821 0.321 0.500

Output
* ΔE_f: -0.0715 eV/atom
* density: 6.72 g/cm3
* crystal system: tetragonal
* N(E_F): 0.26 states/eV per atom


(2)
A geometry-optimized Na3ZnAg8 structure. Source: Alexandria via LeMat-Bulk, functional GGA-PBE.

Unit cell a=9.758 b=9.758 c=9.758 alpha=33.43 beta=33.43 gamma=33.43
Element x y z (fractional)
1 Na 0.000 0.000 0.000
2 Na 0.128 0.128 0.128
3 Na 0.620 0.620 0.620
4 Zn 0.489 0.489 0.489
5 Ag 0.062 0.062 0.562
6 Ag 0.062 0.562 0.062
7 Ag 0.065 0.563 0.563
8 Ag 0.313 0.313 0.313
9 Ag 0.562 0.062 0.062
10 Ag 0.563 0.065 0.563
11 Ag 0.563 0.563 0.065
12 Ag 0.813 0.813 0.813

Output
* ΔE_f: -0.0109 eV/atom
* density: 6.59 g/cm3
* crystal system: trigonal
* N(E_F): 0.38 states/eV per atom


(3)
A geometry-optimized NaZnAg2 structure. Source: Alexandria via LeMat-Bulk, functional GGA-PBE.

Unit cell a=9.153 b=9.153 c=9.153 alpha=36.64 beta=36.64 gamma=36.64
Element x y z (fractional)
1 Na 0.000 0.000 0.000
2 Na 0.141 0.141 0.141
3 Na 0.859 0.859 0.859
4 Zn 0.333 0.333 0.333
5 Zn 0.500 0.500 0.500
6 Zn 0.667 0.667 0.667
7 Ag 0.081 0.584 0.584
8 Ag 0.416 0.416 0.919
9 Ag 0.416 0.919 0.416
10 Ag 0.584 0.081 0.584
11 Ag 0.584 0.584 0.081
12 Ag 0.919 0.416 0.416

Output
* ΔE_f: -0.0608 eV/atom
* density: 6.19 g/cm3
* crystal system: trigonal
* N(E_F): 0.39 states/eV per atom


(4)
A geometry-optimized Na2Zn3Ag2 structure. Source: Alexandria via LeMat-Bulk, functional GGA-PBE.

Unit cell a=10.426 b=4.584 c=6.804 alpha=90.00 beta=118.46 gamma=90.00
Element x y z (fractional)
1 Na 0.161 0.000 0.270
2 Na 0.339 0.500 0.730
3 Na 0.661 0.500 0.270
4 Na 0.839 0.000 0.730
5 Zn 0.000 0.500 0.500
6 Zn 0.098 0.500 0.928
7 Zn 0.402 0.000 0.072
8 Zn 0.500 0.000 0.500
9 Zn 0.598 0.000 0.928
10 Zn 0.902 0.500 0.072
11 Ag 0.126 0.000 0.728
12 Ag 0.374 0.500 0.272
13 Ag 0.626 0.500 0.728
14 Ag 0.874 0.000 0.272

Output
* ΔE_f: -0.0357 eV/atom
* density: 5.32 g/cm3
* crystal system: monoclinic
* N(E_F): 0.33 states/eV per atom